# Te2MoIrI (PBE-GGA, optimized geometry)
data_Te2MoIrI
_chemical_formula_sum 'Te2 Mo1 Ir1 I1'
_space_group_name_H-M_alt 'P 4/m m m'
_space_group_IT_number 123
_space_group_name_Hall '-P 4 2'
_cell_length_a 5.2551
_cell_length_b 5.2551
_cell_length_c 5.4008
_cell_angle_alpha 90.00
_cell_angle_beta 90.00
_cell_angle_gamma 90.00
loop_
_atom_site_label
_atom_site_fract_x
_atom_site_fract_y
_atom_site_fract_z
Te1 0.0000 0.5000 0.0000
Mo1 0.0000 0.0000 0.5000
Ir1 0.5000 0.5000 0.0000
I1 0.5000 0.5000 0.5000
# - Polymorph energy (0 for the lowest one): 0.000 eV per atom
# - M_tot: 3.22 μB per formula unit



# V2B2S (PBE-GGA, optimized geometry)
data_V2B2S
_chemical_formula_sum 'V4 B4 S2'
_space_group_name_H-M_alt 'I 4/m m m'
_space_group_IT_number 139
_space_group_name_Hall '-I 4 2'
_cell_length_a 2.8919
_cell_length_b 2.8919
_cell_length_c 12.3254
_cell_angle_alpha 90.00
_cell_angle_beta 90.00
_cell_angle_gamma 90.00
loop_
_atom_site_label
_atom_site_fract_x
_atom_site_fract_y
_atom_site_fract_z
V1 0.0000 0.0000 0.1112
B1 0.0000 0.5000 0.2500
S1 0.0000 0.0000 0.5000
# - Polymorph energy (0 for the lowest one): 0.000 eV per atom
# - M_tot: 0.00 μB per formula unit



# CaY2As (PBE-GGA, optimized geometry)
data_CaY2As
_chemical_formula_sum 'Ca4 Y8 As4'
_space_group_name_H-M_alt 'I -4 2 d'
_space_group_IT_number 122
_space_group_name_Hall 'I -4 2bw'
_cell_length_a 8.9636
_cell_length_b 8.9636
_cell_length_c 6.3515
_cell_angle_alpha 90.00
_cell_angle_beta 90.00
_cell_angle_gamma 90.00
loop_
_atom_site_label
_atom_site_fract_x
_atom_site_fract_y
_atom_site_fract_z
Ca1 0.0000 0.0000 0.0000
Y1 0.1708 0.7500 0.6250
As1 0.0000 0.0000 0.5000
# - E_form: -0.3736 eV/atom
# - M_tot: 0.00 μB per formula unit



# Tb4CeTe6 (PBE-GGA, optimized geometry)
data_Tb4CeTe6
_chemical_formula_sum 'Tb16 Ce4 Te24'
_space_group_name_H-M_alt 'C m c m'
_space_group_IT_number 63
_space_group_name_Hall '-C 2c 2'
_cell_length_a 4.3353
_cell_length_b 14.3401
_cell_length_c 22.3528
_cell_angle_alpha 90.00
_cell_angle_beta 90.00
_cell_angle_gamma 90.00
loop_
_atom_site_label
_atom_site_fract_x
_atom_site_fract_y
_atom_site_fract_z
Tb1 0.0000 0.0890 0.1249
Tb2 0.0000 0.3565 0.0360
Ce1 0.0000 0.1556 0.7500
Te1 0.0000 0.0000 0.0000
Te2 0.0000 0.1802 0.2500
Te3 0.0000 0.2665 0.5928
Te4 0.0000 0.4486 0.1639
# - Raw total energy: -233.7 eV per cell
# - M_tot: 1.19 μB per formula unit



Q: Which of these has the highest M_tot?
A: Te2MoIrI



Q: M_tot of number 4 (Tb4CeTe6)?
A: 1.19 μB per formula unit